Density functional theory data (PBE) for crystalline CdBr2 at its relaxed geometry.

Computed properties:
Crystal system: hexagonal
Formation energy from raw total energies, meV per atom: -678
Total magnetization, μB per cell: 0.0

Cell: 7.4282 7.4282 6.0153 Å, 90.00 90.00 120.00°
Fractional positions:
Cd 0.3333 0.6667 0.0000
Cd 0.6667 0.3333 0.0000
Cd 0.0000 0.0000 0.5000
Br 0.3003 0.0000 0.0000
Br 0.0000 0.3003 0.0000
Br 0.6997 0.6997 0.0000
Br 0.6510 0.0000 0.5000
Br 0.0000 0.6510 0.5000
Br 0.3490 0.3490 0.5000